# CdFeIN2, relaxed, DFT PBE-GGA
# Density ... 6.3 Mg/m³
# Raw formation energy ... 5.34 eV/f.u.
# Calculated volume ... 16.941 Å³ per atom
# N(E_F) ... 3.37 states/eV/cell
# Size of the total moment ... 0.582 μB/f.u.
# E above lowest polymorph ... 0.000 eV/atom
data_CdFeIN2
_space_group_name_H-M_alt 'P 4/m m m'
_space_group_IT_number 123
_space_group_name_Hall '-P 4 2'
_cell_length_a 3.8383
_cell_length_b 3.8383
_cell_length_c 5.7494
_cell_angle_alpha 90.00
_cell_angle_beta 90.00
_cell_angle_gamma 90.00
loop_
_atom_site_label
_atom_site_type_symbol
_atom_site_fract_x
_atom_site_fract_y
_atom_site_fract_z
Cd1 Cd 0.0000 0.0000 0.0000
Fe1 Fe 0.5000 0.5000 0.5000
I1 I 0.5000 0.5000 0.0000
N1 N 0.0000 0.5000 0.5000